(1)
Material: Pm2Tm
Method: DFT, PBE
State: optimized geometry

Summary:
- Polymorph energy (0 for the lowest one): 3 meV/atom
- Crystal system: monoclinic
- Size of the total moment: 0.000 μB/f.u.
- Energy: -4.63 eV/atom
- E_form: 28 meV per atom

Cell lengths 6.247, 3.613, 9.009 Å; angles 90.00, 103.46, 90.00 degrees
Space group C2/m (No. 12)
Asymmetric unit:
Pm 0.225 0.000 0.173 (multiplicity 4)
Tm 0.000 0.000 0.500 (multiplicity 2)



(2)
Material: TaWCl2
Method: DFT, PBE
State: optimized geometry

Summary:
- Polymorph energy (0 for the lowest one): 1254 meV/atom
- Formation energy from raw total energies: 0.84 eV/atom
- Crystal system: tetragonal
- Size of the total moment: 1.275 μB/f.u.
- Energy: -6.29 eV/atom

Cell lengths 2.886, 2.886, 9.768 Å; angles 90.00, 90.00, 90.00 degrees
Space group P4/mmm (No. 123)
Asymmetric unit:
Ta 0.000 0.000 0.000 (multiplicity 1)
W 0.000 0.000 0.500 (multiplicity 1)
Cl 0.500 0.500 0.163 (multiplicity 2)



(3)
Material: MgNbReSn
Method: DFT, PBE
State: optimized geometry

Summary:
- Polymorph energy (0 for the lowest one): 223 meV/atom
- Crystal system: orthorhombic
- Size of the total moment: 0.000 μB/f.u.
- Energy: -6.81 eV/atom
- E_form: 219 meV per atom

Cell lengths 3.656, 4.331, 4.526 Å; angles 90.00, 90.00, 90.00 degrees
Space group Pmmm (No. 47)
Asymmetric unit:
Mg 0.000 0.000 0.000 (multiplicity 1)
Nb 0.500 0.000 0.500 (multiplicity 1)
Re 0.000 0.500 0.500 (multiplicity 1)
Sn 0.500 0.500 0.000 (multiplicity 1)



(4)
Material: Rb8SbO2
Method: DFT, PBE
State: optimized geometry

Summary:
- Formation energy from raw total energies: -0.62 eV/atom
- Crystal system: orthorhombic
- Size of the total moment: 0.000 μB/f.u.
- Energy: -2.60 eV/atom

Cell lengths 5.776, 12.345, 14.578 Å; angles 90.00, 90.00, 90.00 degrees
Space group Immm (No. 71)
Asymmetric unit:
Rb 0.000 0.000 0.124 (multiplicity 4)
Rb 0.000 0.305 0.500 (multiplicity 4)
Rb 0.000 0.340 0.122 (multiplicity 8)
Sb 0.000 0.000 0.500 (multiplicity 2)
O 0.000 0.170 0.000 (multiplicity 4)



(5)
Material: Sc2TeOsRu
Method: DFT, PBE
State: optimized geometry

Summary:
- Formation energy from raw total energies: 0.21 eV/atom
- Crystal system: tetragonal
- Size of the total moment: 0.000 μB/f.u.
- Energy: -7.06 eV/atom

Cell lengths 5.077, 5.077, 4.636 Å; angles 90.00, 90.00, 90.00 degrees
Space group P4/mmm (No. 123)
Asymmetric unit:
Sc 0.000 0.500 0.000 (multiplicity 2)
Te 0.000 0.000 0.500 (multiplicity 1)
Os 0.500 0.500 0.000 (multiplicity 1)
Ru 0.500 0.500 0.500 (multiplicity 1)



(6)
Material: TlNi2Pt
Method: DFT, PBE
State: optimized geometry

Summary:
- Polymorph energy (0 for the lowest one): 17 meV/atom
- Crystal system: orthorhombic
- Size of the total moment: 0.484 μB/f.u.
- Energy: -4.88 eV/atom
- E_form: 112 meV per atom

Cell lengths 3.907, 3.922, 7.811 Å; angles 90.00, 90.00, 90.00 degrees
Space group Imm2 (No. 44)
Asymmetric unit:
Tl 0.000 0.000 0.000 (multiplicity 2)
Ni 0.000 0.000 0.499 (multiplicity 2)
Ni 0.000 0.500 0.750 (multiplicity 2)
Pt 0.000 0.500 0.249 (multiplicity 2)



> Which value of size of the total moment does entry 1 give?

0.000 μB/f.u.